No. 1
Below is a relaxed structure of YTeBr2, with properties calculated at the PBE-GGA level.

Structure (extended XYZ):
```
4
Lattice="3.431 0.000 0.000 0.000 3.431 0.000 0.000 0.000 10.682" Properties=species:S:1:pos:R:3 pbc="T T T"
Y 1.716 1.716 8.012
Te 1.716 1.716 2.671
Br 0.000 0.000 9.731
Br 0.000 0.000 6.292
```

Properties
Space-group type = P4/mmm
ΔE to the lowest computed polymorph = 112 kJ/mol of formula units
Raw total energy = -4.268 eV per atom
Magnetic moment = 0.3 μB per formula unit
Formation energy without anion corrections = -398 kJ/mol of formula units

---

No. 2
Below is a relaxed structure of YTe2Br, with properties calculated at the PBE-GGA level.

Structure (extended XYZ):
```
4
Lattice="-1.082 -0.387 -5.241 -4.317 -2.540 1.079 -4.723 2.948 0.757" Properties=species:S:1:pos:R:3 pbc="T T T"
Y -5.626 -0.423 1.193
Te -4.316 2.489 0.707
Te -2.777 0.393 -2.202
Br -6.645 0.714 -1.427
```

Properties
Space-group type = Pm
ΔE to the lowest computed polymorph = 141 kJ/mol of formula units
Raw total energy = -4.340 eV per atom
Magnetic moment = 0.0 μB per formula unit
Formation energy without anion corrections = -284 kJ/mol of formula units

---

No. 3
Below is a relaxed structure of YTeBr2, with properties calculated at the PBE-GGA level.

Structure (extended XYZ):
```
4
Lattice="7.415 0.023 0.077 6.559 3.459 0.077 3.502 0.873 6.731" Properties=species:S:1:pos:R:3 pbc="T T T"
Y 13.486 3.360 6.120
Te 7.711 1.921 3.756
Br 4.411 1.099 6.050
Br 4.111 1.024 1.131
```

Properties
Space-group type = Cm
ΔE to the lowest computed polymorph = 0 kJ/mol of formula units
Raw total energy = -4.559 eV per atom
Magnetic moment = 0.1 μB per formula unit
Formation energy without anion corrections = -510 kJ/mol of formula units

---

No. 4
Below is a relaxed structure of YTeBr2, with properties calculated at the PBE-GGA level.

Structure (extended XYZ):
```
4
Lattice="3.997 0.011 0.000 -0.008 3.997 0.000 0.000 0.000 8.167" Properties=species:S:1:pos:R:3 pbc="T T T"
Y 1.994 2.004 5.666
Te 0.000 0.000 4.435
Br 0.000 0.000 7.599
Br 1.994 2.004 2.718
```

Properties
Space-group type = P4mm
ΔE to the lowest computed polymorph = 136 kJ/mol of formula units
Raw total energy = -4.207 eV per atom
Magnetic moment = 0.0 μB per formula unit
Formation energy without anion corrections = -374 kJ/mol of formula units

---

No. 5
Below is a relaxed structure of YTe2Br, with properties calculated at the PBE-GGA level.

Structure (extended XYZ):
```
4
Lattice="5.429 0.074 0.000 -2.376 4.882 0.000 0.000 0.000 4.552" Properties=species:S:1:pos:R:3 pbc="T T T"
Y 2.715 0.037 2.276
Te 0.000 0.000 0.000
Te 1.527 2.478 0.000
Br -1.188 2.441 2.276
```

Properties
Space-group type = Cmmm
ΔE to the lowest computed polymorph = 141 kJ/mol of formula units
Raw total energy = -4.341 eV per atom
Magnetic moment = 0.0 μB per formula unit
Formation energy without anion corrections = -284 kJ/mol of formula units

---

No. 6
Below is a relaxed structure of YTeBr2, with properties calculated at the PBE-GGA level.

Structure (extended XYZ):
```
4
Lattice="-3.885 0.268 2.676 -2.702 -0.955 -3.827 -0.943 -5.652 -0.803" Properties=species:S:1:pos:R:3 pbc="T T T"
Y -0.472 -2.826 -0.402
Te -3.765 -3.169 -0.978
Br 0.000 0.000 0.000
Br -3.293 -0.343 -0.576
```

Properties
Space-group type = P2/m
ΔE to the lowest computed polymorph = 170 kJ/mol of formula units
Raw total energy = -4.117 eV per atom
Magnetic moment = 0.0 μB per formula unit
Formation energy without anion corrections = -339 kJ/mol of formula units